The following is a GGA-PBE calculation of a geometry-optimized CeSmSb2 structure, from the Alexandria database.

Summary:
The energy above the most stable polymorph in this dataset is 0 meV/atom. As for the uncorrected formation energy: -1114 meV per atom. As for the total DFT energy (no corrections): -5.839 eV per atom.

a = 4.4840 Å, b = 4.4840 Å, c = 21.9860 Å
α = 90.00°, β = 90.00°, γ = 120.00°
Space group R-3m (No. 166, hexagonal axes)
Asymmetric unit:
Ce 0.0000 0.0000 0.0000 x3
Sm 0.0000 0.0000 0.5000 x3
Sb 0.0000 0.0000 0.2499 x6

---

The following is a GGA-PBE calculation of a geometry-optimized Ce2SmSb structure, from the Alexandria database.

Summary:
The energy above the most stable polymorph in this dataset is 0 meV/atom. As for the uncorrected formation energy: -600 meV per atom. As for the total DFT energy (no corrections): -5.777 eV per atom.

a = 4.458 Å, b = 4.377 Å, c = 11.717 Å
α = 90.00°, β = 100.53°, γ = 90.00°
Space group P2_1/m (No. 11)
Asymmetric unit:
Ce 0.002 0.250 0.118 x2
Ce 0.401 0.250 0.887 x2
Sm 0.302 0.750 0.610 x2
Sb 0.175 0.750 0.332 x2

---

The following is a GGA-PBE calculation of a geometry-optimized CeSm3Sb4 structure, from the Alexandria database.

Summary:
As for the uncorrected formation energy: -1147 meV per atom. As for the total DFT energy (no corrections): -5.719 eV per atom.

a = 8.964 Å, b = 12.654 Å, c = 4.474 Å
α = 90.00°, β = 90.00°, γ = 90.00°
Space group Cmmm (No. 65)
Asymmetric unit:
Ce 0.000 0.000 0.000 x2
Sm 0.000 0.500 0.000 x2
Sm 0.250 0.250 0.500 x4
Sb 0.000 0.250 0.000 x4
Sb 0.250 0.000 0.500 x4

---

The following is a GGA-PBE calculation of a geometry-optimized Ce2Sm2Sb3 structure, from the Alexandria database.

Summary:
As for the uncorrected formation energy: -806 meV per atom. As for the total DFT energy (no corrections): -5.616 eV per atom.

a = 14.497 Å, b = 4.452 Å, c = 7.559 Å
α = 90.00°, β = 99.75°, γ = 90.00°
Space group C2/m (No. 12)
Asymmetric unit:
Ce 0.123 0.000 0.363 x4
Sm 0.122 0.500 0.882 x4
Sb 0.000 0.500 0.500 x2
Sb 0.243 0.000 0.749 x4

---

The following is a GGA-PBE calculation of a geometry-optimized Ce5Sm3Sb8 structure, from the Alexandria database.

Summary:
As for the uncorrected formation energy: -1095 meV per atom. As for the total DFT energy (no corrections): -5.896 eV per atom.

a = 8.9742 Å, b = 8.9742 Å, c = 22.0018 Å
α = 90.00°, β = 90.00°, γ = 120.00°
Space group R-3m (No. 166, hexagonal axes)
Asymmetric unit:
Ce 0.0000 0.0000 0.0000 x3
Ce 0.0000 0.0000 0.5000 x3
Ce 0.0000 0.5000 0.0000 x9
Sm 0.0000 0.5000 0.5000 x9
Sb 0.0000 0.0000 0.2500 x6
Sb 0.9998 0.4999 0.2499 x18

---

The following is a GGA-PBE calculation of a geometry-optimized Ce2SmSb structure, from the Alexandria database.

Summary:
The energy above the most stable polymorph in this dataset is 72 meV/atom. As for the uncorrected formation energy: -527 meV per atom. As for the total DFT energy (no corrections): -5.705 eV per atom.

a = 4.653 Å, b = 4.653 Å, c = 5.069 Å
α = 90.00°, β = 90.00°, γ = 90.00°
Space group P4/mmm (No. 123)
Asymmetric unit:
Ce 0.000 0.500 0.000 x2
Sm 0.000 0.000 0.500 x1
Sb 0.500 0.500 0.500 x1

---

The following is a GGA-PBE calculation of a geometry-optimized CeSm8Sb6 structure, from the Alexandria database.

Summary:
As for the uncorrected formation energy: -631 meV per atom. As for the total DFT energy (no corrections): -5.192 eV per atom.

a = 11.6344 Å, b = 11.6344 Å, c = 4.4851 Å
α = 90.00°, β = 90.00°, γ = 120.00°
Space group P-3 (No. 147)
Asymmetric unit:
Ce 0.0000 0.0000 0.0000 x1
Sm 0.0399 0.3436 0.7425 x6
Sm 0.3333 0.6667 0.2568 x2
Sb 0.1341 0.6529 0.7564 x6

---

The following is a GGA-PBE calculation of a geometry-optimized CeSm4Sb2 structure, from the Alexandria database.

Summary:
As for the uncorrected formation energy: 28 meV per atom. As for the total DFT energy (no corrections): -4.694 eV per atom.

a = 5.225 Å, b = 5.225 Å, c = 16.515 Å
α = 90.00°, β = 90.00°, γ = 90.00°
Space group I4/mmm (No. 139)
Asymmetric unit:
Ce 0.000 0.000 0.000 x2
Sm 0.000 0.000 0.179 x4
Sm 0.000 0.500 0.000 x4
Sb 0.000 0.000 0.365 x4

---

The following is a GGA-PBE calculation of a geometry-optimized Ce2Sm2Sb5 structure, from the Alexandria database.

Summary:
As for the uncorrected formation energy: -945 meV per atom. As for the total DFT energy (no corrections): -5.603 eV per atom.

a = 15.760 Å, b = 8.221 Å, c = 8.298 Å
α = 90.00°, β = 90.00°, γ = 90.00°
Space group Cmce (No. 64)
Asymmetric unit:
Ce 0.000 0.152 0.154 x8
Sm 0.196 0.000 0.500 x8
Sb 0.000 0.000 0.500 x4
Sb 0.137 0.153 0.849 x16

---

The following is a GGA-PBE calculation of a geometry-optimized CeSm2Sb3 structure, from the Alexandria database.

Summary:
As for the uncorrected formation energy: -1137 meV per atom. As for the total DFT energy (no corrections): -5.760 eV per atom.

a = 4.475 Å, b = 6.330 Å, c = 13.452 Å
α = 90.00°, β = 90.00°, γ = 90.00°
Space group Immm (No. 71)
Asymmetric unit:
Ce 0.000 0.000 0.000 x2
Sm 0.000 0.000 0.333 x4
Sb 0.000 0.500 0.000 x2
Sb 0.000 0.500 0.334 x4

---

The following is a GGA-PBE calculation of a geometry-optimized CeSmSb structure, from the Alexandria database.

Summary:
As for the uncorrected formation energy: -378 meV per atom. As for the total DFT energy (no corrections): -5.303 eV per atom.

a = 5.1495 Å, b = 5.1495 Å, c = 4.0551 Å
α = 90.00°, β = 90.00°, γ = 120.00°
Space group P3m1 (No. 156)
Asymmetric unit:
Ce 0.0000 0.0000 0.0000 x1
Sm 0.3333 0.6667 0.4584 x1
Sb 0.6667 0.3333 0.6540 x1

---

The following is a GGA-PBE calculation of a geometry-optimized Ce2SmSb3 structure, from the Alexandria database.

Summary:
As for the uncorrected formation energy: -1090 meV per atom. As for the total DFT energy (no corrections): -5.915 eV per atom.

a = 4.491 Å, b = 6.351 Å, c = 13.478 Å
α = 90.00°, β = 90.00°, γ = 90.00°
Space group Immm (No. 71)
Asymmetric unit:
Ce 0.000 0.000 0.167 x4
Sm 0.000 0.000 0.500 x2
Sb 0.000 0.500 0.167 x4
Sb 0.000 0.500 0.500 x2

---

The following is a GGA-PBE calculation of a geometry-optimized CeSm3Sb3 structure, from the Alexandria database.

Summary:
The energy above the most stable polymorph in this dataset is 0 meV/atom. As for the uncorrected formation energy: -1010 meV per atom. As for the total DFT energy (no corrections): -5.647 eV per atom.

a = 9.416 Å, b = 9.416 Å, c = 9.416 Å
α = 90.00°, β = 90.00°, γ = 90.00°
Space group P2_13 (No. 198)
Asymmetric unit:
Ce 0.072 0.428 0.572 x4
Sm 0.073 0.573 0.927 x4
Sm 0.179 0.179 0.179 x4
Sm 0.180 0.820 0.320 x4
Sb 0.001 0.751 0.623 x12

---

The following is a GGA-PBE calculation of a geometry-optimized CeSm2Sb2 structure, from the Alexandria database.

Summary:
As for the uncorrected formation energy: -810 meV per atom. As for the total DFT energy (no corrections): -5.534 eV per atom.

a = 8.793 Å, b = 11.804 Å, c = 6.239 Å
α = 90.00°, β = 90.00°, γ = 90.00°
Space group Ibam (No. 72)
Asymmetric unit:
Ce 0.000 0.000 0.250 x4
Sm 0.141 0.351 0.000 x8
Sb 0.214 0.387 0.500 x8

---

The following is a GGA-PBE calculation of a geometry-optimized Ce2SmSb3 structure, from the Alexandria database.

Summary:
As for the uncorrected formation energy: -1088 meV per atom. As for the total DFT energy (no corrections): -5.913 eV per atom.

a = 6.352 Å, b = 13.463 Å, c = 8.989 Å
α = 90.00°, β = 90.00°, γ = 90.00°
Space group P2_1/c (No. 14)
Asymmetric unit:
Ce 0.249 0.083 0.374 x4
Ce 0.251 0.750 0.375 x4
Sm 0.250 0.083 0.876 x4
Sb 0.249 0.250 0.125 x4
Sb 0.250 0.584 0.625 x4
Sb 0.251 0.583 0.126 x4

---

The following is a GGA-PBE calculation of a geometry-optimized CeSm3Sb3 structure, from the Alexandria database.

Summary:
The energy above the most stable polymorph in this dataset is 230 meV/atom. As for the uncorrected formation energy: -780 meV per atom. As for the total DFT energy (no corrections): -5.417 eV per atom.

a = 9.2135 Å, b = 9.2135 Å, c = 5.8478 Å
α = 90.00°, β = 90.00°, γ = 120.00°
Space group P6_3/m (No. 176)
Asymmetric unit:
Ce 0.3333 0.6667 0.2500 x2
Sm 0.0139 0.2551 0.2500 x6
Sb 0.0564 0.4245 0.7500 x6

---

The following is a GGA-PBE calculation of a geometry-optimized CeSm3Sb4 structure, from the Alexandria database.

Summary:
As for the uncorrected formation energy: -1146 meV per atom. As for the total DFT energy (no corrections): -5.718 eV per atom.

a = 6.335 Å, b = 6.335 Å, c = 6.335 Å
α = 90.00°, β = 90.00°, γ = 90.00°
Space group Pm-3m (No. 221)
Asymmetric unit:
Ce 0.000 0.000 0.000 x1
Sm 0.000 0.500 0.500 x3
Sb 0.000 0.000 0.500 x3
Sb 0.500 0.500 0.500 x1

---

The following is a GGA-PBE calculation of a geometry-optimized Ce3SmSb3 structure, from the Alexandria database.

Summary:
As for the uncorrected formation energy: -787 meV per atom. As for the total DFT energy (no corrections): -5.771 eV per atom.

a = 9.2745 Å, b = 9.2745 Å, c = 18.8339 Å
α = 90.00°, β = 90.00°, γ = 120.00°
Space group R-3 (No. 148, hexagonal axes)
Asymmetric unit:
Ce 0.0043 0.2627 0.0868 x18
Sm 0.0000 0.0000 0.3312 x6
Sb 0.0022 0.3873 0.9209 x18

---

The following is a GGA-PBE calculation of a geometry-optimized Ce2SmSb structure, from the Alexandria database.

Summary:
The energy above the most stable polymorph in this dataset is 118 meV/atom. As for the uncorrected formation energy: -481 meV per atom. As for the total DFT energy (no corrections): -5.658 eV per atom.

a = 4.213 Å, b = 4.213 Å, c = 6.800 Å
α = 90.00°, β = 90.00°, γ = 90.00°
Space group P4/mmm (No. 123)
Asymmetric unit:
Ce 0.000 0.000 0.197 x2
Sm 0.500 0.500 0.500 x1
Sb 0.500 0.500 0.000 x1

---

The following is a GGA-PBE calculation of a geometry-optimized CeSm3Sb2 structure, from the Alexandria database.

Summary:
As for the uncorrected formation energy: -559 meV per atom. As for the total DFT energy (no corrections): -5.282 eV per atom.

a = 7.260 Å, b = 14.669 Å, c = 7.639 Å
α = 90.00°, β = 90.00°, γ = 90.00°
Space group Ibam (No. 72)
Asymmetric unit:
Ce 0.000 0.000 0.000 x4
Sm 0.000 0.205 0.250 x8
Sm 0.000 0.500 0.250 x4
Sb 0.172 0.352 0.000 x8